Entry from Alexandria via LeMat-Bulk: an optimized crystal structure of RbHoUS4 (PBE).

a = 8.512 Å, b = 8.421 Å, c = 8.475 Å
α = 120.21°, β = 90.00°, γ = 120.36°
Each line ends with the local moment (μB).
Positions (direct):
Rb: 0.877 0.754 0.127  0.00
Rb: 0.123 0.246 0.873  0.00
Ho: 0.500 0.000 0.500  0.02
Ho: 0.500 0.000 0.000  0.02
U: 0.500 0.500 0.500  2.06
U: 0.000 0.500 0.500  2.06
S: 0.732 0.465 0.685  -0.05
S: 0.316 0.045 0.273  -0.03
S: 0.729 0.045 0.273  -0.03
S: 0.732 0.465 0.280  -0.05
S: 0.268 0.535 0.720  -0.05
S: 0.684 0.955 0.727  -0.03
S: 0.271 0.955 0.727  -0.03
S: 0.268 0.535 0.315  -0.05

## Properties
Calculated density   4810 kg/m³
Formation energy without anion corrections   -1575 meV per atom
D(E_F)   0.67 states/eV per atom

***

Entry from Alexandria via LeMat-Bulk: an optimized crystal structure of Rb3HoU2S6 (PBE).

a = 7.055 Å, b = 7.055 Å, c = 8.078 Å
α = 98.37°, β = 98.37°, γ = 120.00°
Each line ends with the local moment (μB).
Positions (direct):
Rb: 0.166 0.834 0.500  0.01
Rb: 0.834 0.166 0.500  0.01
Rb: 0.500 0.500 0.500  0.01
Ho: 0.000 0.000 0.000  0.14
U: 0.333 0.667 0.000  2.61
U: 0.667 0.333 0.000  2.61
S: 0.936 0.603 0.807  -0.04
S: 0.732 0.732 0.193  -0.04
S: 0.064 0.397 0.193  -0.04
S: 0.603 0.936 0.807  -0.04
S: 0.268 0.268 0.807  -0.04
S: 0.397 0.064 0.193  -0.04

## Properties
Calculated density   5433 kg/m³
Formation energy without anion corrections   -1505 meV per atom
D(E_F)   0.57 states/eV per atom

***

Entry from Alexandria via LeMat-Bulk: an optimized crystal structure of Rb3Ho3US8 (PBE).

a = 8.059 Å, b = 8.056 Å, c = 9.094 Å
α = 116.30°, β = 90.00°, γ = 120.01°
Each line ends with the local moment (μB).
Positions (direct):
Rb: 0.000 0.000 0.000  0.00
Rb: 0.000 0.500 0.000  0.00
Rb: 0.500 0.500 0.000  0.00
Ho: 0.500 0.000 0.500  0.02
Ho: 0.500 0.500 0.500  0.02
Ho: 0.000 0.500 0.500  0.02
U: 0.000 0.000 0.500  2.00
S: 0.270 0.540 0.311  0.00
S: 0.730 0.460 0.689  0.00
S: 0.773 0.547 0.314  -0.03
S: 0.227 0.453 0.686  -0.03
S: 0.773 0.041 0.314  -0.03
S: 0.227 0.959 0.686  -0.03
S: 0.267 0.041 0.314  -0.03
S: 0.733 0.959 0.686  -0.03

## Properties
Calculated density   4710 kg/m³
Formation energy without anion corrections   -1770 meV per atom
D(E_F)   0.42 states/eV per atom

***

Entry from Alexandria via LeMat-Bulk: an optimized crystal structure of Rb2HoUS6 (PBE).

a = 7.405 Å, b = 7.403 Å, c = 10.470 Å
α = 90.00°, β = 90.00°, γ = 90.00°
Positions (direct):
Rb: 0.500 0.750 0.250
Rb: 0.000 0.250 0.750
Rb: 0.500 0.750 0.750
Rb: 0.000 0.250 0.250
Ho: 0.000 0.750 0.500
Ho: 0.500 0.250 0.000
U: 0.500 0.250 0.500
U: 0.000 0.750 0.000
S: 0.500 0.250 0.257
S: 0.500 0.250 0.743
S: 0.000 0.750 0.243
S: 0.000 0.750 0.757
S: 0.257 0.007 0.500
S: 0.743 0.007 0.500
S: 0.257 0.493 0.500
S: 0.743 0.493 0.500
S: 0.757 0.507 0.000
S: 0.243 0.507 0.000
S: 0.243 0.993 0.000
S: 0.757 0.993 0.000

## Properties
Calculated density   4434 kg/m³
Formation energy without anion corrections   -1350 meV per atom
D(E_F)   0.65 states/eV per atom

***

Repeat the third record exactly.
Entry from Alexandria via LeMat-Bulk: an optimized crystal structure of Rb3Ho3US8 (PBE).

a = 8.059 Å, b = 8.056 Å, c = 9.094 Å
α = 116.30°, β = 90.00°, γ = 120.01°
Each line ends with the local moment (μB).
Positions (direct):
Rb: 0.000 0.000 0.000  0.00
Rb: 0.000 0.500 0.000  0.00
Rb: 0.500 0.500 0.000  0.00
Ho: 0.500 0.000 0.500  0.02
Ho: 0.500 0.500 0.500  0.02
Ho: 0.000 0.500 0.500  0.02
U: 0.000 0.000 0.500  2.00
S: 0.270 0.540 0.311  0.00
S: 0.730 0.460 0.689  0.00
S: 0.773 0.547 0.314  -0.03
S: 0.227 0.453 0.686  -0.03
S: 0.773 0.041 0.314  -0.03
S: 0.227 0.959 0.686  -0.03
S: 0.267 0.041 0.314  -0.03
S: 0.733 0.959 0.686  -0.03

## Properties
Calculated density   4710 kg/m³
Formation energy without anion corrections   -1770 meV per atom
D(E_F)   0.42 states/eV per atom

***

Please write out number 1 again, unchanged.
Entry from Alexandria via LeMat-Bulk: an optimized crystal structure of RbHoUS4 (PBE).

a = 8.512 Å, b = 8.421 Å, c = 8.475 Å
α = 120.21°, β = 90.00°, γ = 120.36°
Each line ends with the local moment (μB).
Positions (direct):
Rb: 0.877 0.754 0.127  0.00
Rb: 0.123 0.246 0.873  0.00
Ho: 0.500 0.000 0.500  0.02
Ho: 0.500 0.000 0.000  0.02
U: 0.500 0.500 0.500  2.06
U: 0.000 0.500 0.500  2.06
S: 0.732 0.465 0.685  -0.05
S: 0.316 0.045 0.273  -0.03
S: 0.729 0.045 0.273  -0.03
S: 0.732 0.465 0.280  -0.05
S: 0.268 0.535 0.720  -0.05
S: 0.684 0.955 0.727  -0.03
S: 0.271 0.955 0.727  -0.03
S: 0.268 0.535 0.315  -0.05

## Properties
Calculated density   4810 kg/m³
Formation energy without anion corrections   -1575 meV per atom
D(E_F)   0.67 states/eV per atom

***

> Look up the formation energy without anion corrections of the second one.

-1505 meV per atom